Entry 1:
# Sm3Ni8Hg | Alexandria | GGA-PBE | optimized geometry
# calculated volume = 15.504 Å³ per atom
# energy = -5.40 eV per atom
# total moment = 0.0 μB per formula unit
# ΔE_f = -0.34 eV/atom
data_Sm3Ni8Hg
_cell_length_a 5.0729
_cell_length_b 5.0729
_cell_length_c 25.0443
_cell_angle_alpha 90.00
_cell_angle_beta 90.00
_cell_angle_gamma 120.00
_space_group_name_H-M_alt 'R 3 m'
_space_group_IT_number 160
_space_group_name_Hall 'R 3 -2"'
loop_
_atom_site_label
_atom_site_fract_x
_atom_site_fract_y
_atom_site_fract_z
Sm1 0.0000 0.0000 0.0000
Sm2 0.0000 0.0000 0.1283
Sm3 0.0000 0.0000 0.6165
Ni1 0.0000 0.0000 0.3106
Ni2 0.0000 0.0000 0.8106
Ni3 0.0007 0.5004 0.0604
Ni4 0.0036 0.5018 0.5608
Hg1 0.0000 0.0000 0.4951

Entry 2:
# CaBe2Si | Alexandria | GGA-PBE | optimized geometry
# calculated volume = 18.472 Å³ per atom
# energy = -3.66 eV per atom
# ΔE_f (raw) = 0.056 eV/atom
# total moment = 0.0 μB per formula unit
data_CaBe2Si
_cell_length_a 3.8240
_cell_length_b 4.3515
_cell_length_c 4.4404
_cell_angle_alpha 90.00
_cell_angle_beta 90.00
_cell_angle_gamma 90.00
_space_group_name_H-M_alt 'P m m m'
_space_group_IT_number 47
_space_group_name_Hall '-P 2 2'
loop_
_atom_site_label
_atom_site_fract_x
_atom_site_fract_y
_atom_site_fract_z
Ca1 0.0000 0.0000 0.0000
Be1 0.5000 0.5000 0.2515
Si1 0.0000 0.5000 0.5000

Entry 3:
# Tm6ZnAg3 | Alexandria | GGA-PBE | optimized geometry
# calculated volume = 24.317 Å³ per atom
# energy = -3.88 eV per atom
# total moment = 0.0 μB per formula unit
# ΔE_f = -0.21 eV/atom
data_Tm6ZnAg3
_cell_length_a 8.7987
_cell_length_b 5.0925
_cell_length_c 11.4228
_cell_angle_alpha 90.00
_cell_angle_beta 108.16
_cell_angle_gamma 90.00
_space_group_name_H-M_alt 'P 1 21/m 1'
_space_group_IT_number 11
_space_group_name_Hall '-P 2yb'
loop_
_atom_site_label
_atom_site_fract_x
_atom_site_fract_y
_atom_site_fract_z
Tm1 0.0058 0.2500 0.3946
Tm2 0.1680 0.7500 0.1907
Tm3 0.2470 0.2500 0.0100
Tm4 0.3571 0.7500 0.8364
Tm5 0.3638 0.2500 0.6283
Tm6 0.3891 0.2500 0.3494
Zn1 0.4509 0.7500 0.1093
Ag1 0.0317 0.7500 0.8802
Ag2 0.1189 0.2500 0.7386
Ag3 0.2697 0.7500 0.4711

Entry 4:
# Fe3CoPt2 | Alexandria | GGA-PBE | optimized geometry
# calculated volume = 13.185 Å³ per atom
# energy = -7.50 eV per atom
# total moment = 10.6 μB per formula unit
# ΔE_f = -0.07 eV/atom
data_Fe3CoPt2
_cell_length_a 2.6226
_cell_length_b 4.1653
_cell_length_c 7.2417
_cell_angle_alpha 90.00
_cell_angle_beta 90.00
_cell_angle_gamma 90.00
_space_group_name_H-M_alt 'P m m 2'
_space_group_IT_number 25
_space_group_name_Hall 'P 2 -2'
loop_
_atom_site_label
_atom_site_fract_x
_atom_site_fract_y
_atom_site_fract_z
Fe1 0.0000 0.0000 0.0000
Fe2 0.0000 0.0000 0.3356
Fe3 0.0000 0.5000 0.8233
Co1 0.0000 0.5000 0.4926
Pt1 0.5000 0.0000 0.6642
Pt2 0.5000 0.5000 0.1626

Entry 5:
# Ac5PmGe4 | Alexandria | GGA-PBE | optimized geometry
# calculated volume = 36.564 Å³ per atom
# energy = -4.90 eV per atom
# total moment = 0.0 μB per formula unit
# ΔE_f = -0.52 eV/atom
data_Ac5PmGe4
_cell_length_a 20.7529
_cell_length_b 4.5942
_cell_length_c 8.3839
_cell_angle_alpha 90.00
_cell_angle_beta 113.82
_cell_angle_gamma 90.00
_space_group_name_H-M_alt 'C 1 2/m 1'
_space_group_IT_number 12
_space_group_name_Hall '-C 2y'
loop_
_atom_site_label
_atom_site_fract_x
_atom_site_fract_y
_atom_site_fract_z
Ac1 0.0000 0.0000 0.0000
Ac2 0.1622 0.5000 0.9140
Ac3 0.1629 0.5000 0.4155
Pm1 0.0000 0.0000 0.5000
Ge1 0.0004 0.5000 0.2630
Ge2 0.1921 0.0000 0.6941

Entry 6:
# NaMgCdPd | Alexandria | GGA-PBE | optimized geometry
# calculated volume = 19.353 Å³ per atom
# energy = -2.51 eV per atom
# total moment = 0.0 μB per formula unit
# ΔE_f = -0.26 eV/atom
data_NaMgCdPd
_cell_length_a 6.7654
_cell_length_b 6.7654
_cell_length_c 6.7654
_cell_angle_alpha 90.00
_cell_angle_beta 90.00
_cell_angle_gamma 90.00
_space_group_name_H-M_alt 'F -4 3 m'
_space_group_IT_number 216
_space_group_name_Hall 'F -4 2 3'
loop_
_atom_site_label
_atom_site_fract_x
_atom_site_fract_y
_atom_site_fract_z
Na1 0.0000 0.0000 0.0000
Mg1 0.2500 0.2500 0.7500
Cd1 0.2500 0.2500 0.2500
Pd1 0.0000 0.0000 0.5000

Entry 7:
# MnAl2Br | Alexandria | GGA-PBE | optimized geometry
# calculated volume = 19.196 Å³ per atom
# energy = -4.35 eV per atom
# ΔE_f (raw) = 0.236 eV/atom
# polymorph energy (0 for the lowest one) = 0.1924 eV per atom
# total moment = 3.6 μB per formula unit
data_MnAl2Br
_cell_length_a 3.0088
_cell_length_b 5.1599
_cell_length_c 9.8916
_cell_angle_alpha 90.00
_cell_angle_beta 90.00
_cell_angle_gamma 90.00
_space_group_name_H-M_alt 'I m m 2'
_space_group_IT_number 44
_space_group_name_Hall 'I 2 -2'
loop_
_atom_site_label
_atom_site_fract_x
_atom_site_fract_y
_atom_site_fract_z
Mn1 0.0000 0.0000 0.0000
Al1 0.0000 0.0000 0.5226
Al2 0.0000 0.5000 0.2808
Br1 0.0000 0.5000 0.7188

Entry 8:
# AcAl2Ag4 | Alexandria | GGA-PBE | optimized geometry
# calculated volume = 26.329 Å³ per atom
# energy = -3.16 eV per atom
# polymorph energy (0 for the lowest one) = 0.3633 eV per atom
# total moment = 0.0 μB per formula unit
# ΔE_f = 0.12 eV/atom
data_AcAl2Ag4
_cell_length_a 7.9585
_cell_length_b 7.9585
_cell_length_c 5.8196
_cell_angle_alpha 90.00
_cell_angle_beta 90.00
_cell_angle_gamma 90.00
_space_group_name_H-M_alt 'I 4/m m m'
_space_group_IT_number 139
_space_group_name_Hall '-I 4 2'
loop_
_atom_site_label
_atom_site_fract_x
_atom_site_fract_y
_atom_site_fract_z
Ac1 0.0000 0.0000 0.0000
Al1 0.0000 0.5000 0.2500
Ag1 0.0000 0.2393 0.5000

Entry 9:
# SrZn2Br | Alexandria | GGA-PBE | optimized geometry
# calculated volume = 30.562 Å³ per atom
# energy = -2.10 eV per atom
# ΔE_f (raw) = -0.626 eV/atom
# polymorph energy (0 for the lowest one) = 0.0000 eV per atom
# total moment = 0.0 μB per formula unit
data_SrZn2Br
_cell_length_a 7.7889
_cell_length_b 4.5004
_cell_length_c 6.9759
_cell_angle_alpha 90.00
_cell_angle_beta 90.97
_cell_angle_gamma 90.00
_space_group_name_H-M_alt 'C 1 m 1'
_space_group_IT_number 8
_space_group_name_Hall 'C -2y'
loop_
_atom_site_label
_atom_site_fract_x
_atom_site_fract_y
_atom_site_fract_z
Sr1 0.0000 0.0000 0.0000
Zn1 0.1720 0.5000 0.2926
Zn2 0.3384 0.0000 0.3078
Br1 0.3298 0.0000 0.7538

Entry 10:
# Ce3Al5O12 | Alexandria | GGA-PBE | optimized geometry
# calculated volume = 11.850 Å³ per atom
# energy = -7.94 eV per atom
# ΔE_f (raw) = -3.137 eV/atom
# total moment = 3.0 μB per formula unit
data_Ce3Al5O12
_cell_length_a 12.3769
_cell_length_b 12.3769
_cell_length_c 12.3769
_cell_angle_alpha 90.00
_cell_angle_beta 90.00
_cell_angle_gamma 90.00
_space_group_name_H-M_alt 'I a -3 d'
_space_group_IT_number 230
_space_group_name_Hall '-I 4bd 2c 3'
loop_
_atom_site_label
_atom_site_fract_x
_atom_site_fract_y
_atom_site_fract_z
Ce1 0.0000 0.2500 0.1250
Al1 0.0000 0.0000 0.0000
Al2 0.0000 0.2500 0.3750
O1 0.0333 0.0460 0.6476

Entry 11:
# BaTiCd | Alexandria | GGA-PBE | optimized geometry
# calculated volume = 32.240 Å³ per atom
# energy = -3.37 eV per atom
# polymorph energy (0 for the lowest one) = 0.0115 eV per atom
# total moment = 0.0 μB per formula unit
# ΔE_f = 0.20 eV/atom
data_BaTiCd
_cell_length_a 5.1415
_cell_length_b 5.8368
_cell_length_c 13.1410
_cell_angle_alpha 90.00
_cell_angle_beta 101.18
_cell_angle_gamma 90.00
_space_group_name_H-M_alt 'C 1 2/m 1'
_space_group_IT_number 12
_space_group_name_Hall '-C 2y'
loop_
_atom_site_label
_atom_site_fract_x
_atom_site_fract_y
_atom_site_fract_z
Ba1 0.1737 0.0000 0.3508
Ti1 0.2500 0.2500 0.0000
Cd1 0.0857 0.5000 0.1735

Entry 12:
# MnIn2Tc | Alexandria | GGA-PBE | optimized geometry
# calculated volume = 18.177 Å³ per atom
# energy = -5.86 eV per atom
# polymorph energy (0 for the lowest one) = 0.1939 eV per atom
# total moment = 3.4 μB per formula unit
# ΔE_f = 0.39 eV/atom
data_MnIn2Tc
_cell_length_a 3.0567
_cell_length_b 3.0567
_cell_length_c 26.9571
_cell_angle_alpha 90.00
_cell_angle_beta 90.00
_cell_angle_gamma 120.00
_space_group_name_H-M_alt 'R -3 m'
_space_group_IT_number 166
_space_group_name_Hall '-R 3 2"'
loop_
_atom_site_label
_atom_site_fract_x
_atom_site_fract_y
_atom_site_fract_z
Mn1 0.0000 0.0000 0.0000
In1 0.0000 0.0000 0.2487
Tc1 0.0000 0.0000 0.5000

What is the calculated volume in the twelfth record? 18.177 Å³ per atom

The lowest calculated volume belongs to which entry? Ce3Al5O12